! HfThPb, optimized geometry, DFT PBE; values from VASP
! Formation enthalpy at 0 K (eV/atom): -0.136
! E above lowest polymorph (eV per atom): 0.000
! M_tot (μB/f.u.): 0.0
! Uncorrected energy (eV per atom): -7.16
&SYSTEM
  ibrav = 0, nat = 6, ntyp = 3
/
ATOMIC_SPECIES
Hf 178.49 Hf.upf
Th 232.04 Th.upf
Pb 207.20 Pb.upf
CELL_PARAMETERS angstrom
4.430 0.000 0.000
0.000 4.430 0.000
-2.215 -2.215 8.572
ATOMIC_POSITIONS crystal
Hf 0.500 0.000 0.000
Th 0.677 0.677 0.353
Pb 0.874 0.874 0.747
Hf 0.000 0.500 0.000
Pb 0.126 0.126 0.253
Th 0.323 0.323 0.647